# 1
Entry from Alexandria: NbZnSCl2 after structural relaxation (PBE).

abc: 4.626 4.626 5.006
angles: 90.00 90.00 90.00
Each line ends with the local moment (μB).
Element x y z (fractional)
S1 0.000 0.000 0.500  -0.11
Nb1 0.500 0.500 0.500  2.59
Zn1 0.000 0.000 0.000  0.01
Cl1 0.000 0.500 0.000  -0.01
Cl2 0.500 0.000 0.000  -0.01

The calculation puts the density of states at the Fermi level at 4.98 states/eV per cell. The calculation puts the volume at 107.1 Å³/cell. Its magnetic moment is 3.0 μB per formula unit. The value obtained for the energy is -18.38 eV for the cell shown. The value obtained for the formation energy without anion corrections is 156 meV/atom.

---

# 2
Entry from Alexandria: NbZnS2Cl after structural relaxation (PBE).

abc: 4.819 4.956 4.819
angles: 90.00 90.00 90.00
Element x y z (fractional)
S1 0.000 0.000 0.500
S2 0.500 0.000 0.000
Nb1 0.000 0.000 0.000
Zn1 0.500 0.500 0.500
Cl1 0.000 0.500 0.000

The calculation puts the density of states at the Fermi level at 3.58 states/eV per cell. The calculation puts the volume at 115.1 Å³/cell. Its magnetic moment is 0.0 μB per formula unit. The value obtained for the energy is -23.17 eV for the cell shown. The value obtained for the formation energy without anion corrections is -346 meV/atom.

---

# 3
Entry from Alexandria: ZrNbS2Cl after structural relaxation (PBE).

abc: 4.926 4.926 4.797
angles: 90.00 90.00 90.00
Each line ends with the local moment (μB).
Element x y z (fractional)
Nb1 0.500 0.500 0.500  2.83
S1 0.000 0.500 0.000  -0.05
S2 0.500 0.000 0.000  -0.05
Zr1 0.000 0.000 0.000  0.03
Cl1 0.000 0.000 0.500  0.04

The calculation puts the density of states at the Fermi level at 5.20 states/eV per cell. The calculation puts the volume at 116.4 Å³/cell. Its magnetic moment is 3.5 μB per formula unit. The value obtained for the energy is -29.49 eV for the cell shown. The value obtained for the formation energy without anion corrections is -154 meV/atom.

---

# 4
Entry from Alexandria: ZrNbS2Cl after structural relaxation (PBE).

abc: 4.818 4.818 4.757
angles: 90.00 90.00 90.00
Each line ends with the local moment (μB).
Element x y z (fractional)
Nb1 0.000 0.000 0.000  0.34
S1 0.000 0.500 0.000  -0.04
S2 0.500 0.000 0.000  -0.04
Zr1 0.500 0.500 0.500  1.40
Cl1 0.000 0.000 0.500  0.02

The calculation puts the density of states at the Fermi level at 5.12 states/eV per cell. The calculation puts the volume at 110.4 Å³/cell. Its magnetic moment is 2.4 μB per formula unit. The value obtained for the energy is -29.68 eV for the cell shown. The value obtained for the formation energy without anion corrections is -191 meV/atom.

---

# 5
Entry from Alexandria: ZrNbSCl2 after structural relaxation (PBE).

abc: 4.959 4.959 5.067
angles: 90.00 90.00 90.00
Each line ends with the local moment (μB).
Element x y z (fractional)
Nb1 0.500 0.500 0.500  3.03
S1 0.000 0.000 0.500  -0.04
Zr1 0.000 0.000 0.000  -0.09
Cl1 0.000 0.500 0.000  0.02
Cl2 0.500 0.000 0.000  0.02

The calculation puts the density of states at the Fermi level at 7.25 states/eV per cell. The calculation puts the volume at 124.6 Å³/cell. Its magnetic moment is 3.8 μB per formula unit. The value obtained for the energy is -27.12 eV for the cell shown. The value obtained for the formation energy without anion corrections is -136 meV/atom.

---

# 6
Entry from Alexandria: ZrNbSCl2 after structural relaxation (PBE).

abc: 4.858 4.858 4.830
angles: 90.00 90.00 90.00
Each line ends with the local moment (μB).
Element x y z (fractional)
Nb1 0.000 0.000 0.000  0.02
S1 0.000 0.000 0.500  -0.03
Zr1 0.500 0.500 0.500  1.59
Cl1 0.000 0.500 0.000  0.00
Cl2 0.500 0.000 0.000  0.00

The calculation puts the density of states at the Fermi level at 6.38 states/eV per cell. The calculation puts the volume at 114.0 Å³/cell. Its magnetic moment is 2.5 μB per formula unit. The value obtained for the energy is -26.72 eV for the cell shown. The value obtained for the formation energy without anion corrections is -56 meV/atom.

---

# 7
Entry from Alexandria: NbSbCl2 after structural relaxation (PBE).

abc: 8.896 8.896 6.856
angles: 49.55 49.55 90.00
Each line ends with the local moment (μB).
Element x y z (fractional)
Sb1 0.000 0.000 0.000  -0.17
Sb2 0.750 0.250 0.500  -0.17
Nb1 0.500 0.500 0.000  0.52
Nb2 0.250 0.750 0.500  0.52
Cl1 0.490 0.125 0.250  -0.04
Cl2 0.260 0.625 0.250  -0.04
Cl3 0.375 0.510 0.750  -0.04
Cl4 0.875 0.740 0.750  -0.04

The calculation puts the density of states at the Fermi level at 4.93 states/eV per cell. The calculation puts the volume at 215.9 Å³/cell. Its magnetic moment is 0.1 μB per formula unit. The value obtained for the energy is -37.53 eV for the cell shown. The value obtained for the formation energy without anion corrections is -220 meV/atom.

---

# 8
Entry from Alexandria: Nb2SbCl after structural relaxation (PBE).

abc: 4.696 4.696 8.903
angles: 74.71 74.71 90.00
Element x y z (fractional)
Sb1 0.000 0.000 0.000
Sb2 0.750 0.250 0.500
Nb1 0.550 0.125 0.250
Nb2 0.200 0.625 0.250
Nb3 0.375 0.450 0.750
Nb4 0.875 0.800 0.750
Cl1 0.500 0.500 0.000
Cl2 0.250 0.750 0.500

The calculation puts the density of states at the Fermi level at 8.76 states/eV per cell. The calculation puts the volume at 182.2 Å³/cell. Its magnetic moment is 0.0 μB per formula unit. The value obtained for the energy is -49.39 eV for the cell shown. The value obtained for the formation energy without anion corrections is 354 meV/atom.

---

# 9
Entry from Alexandria: Nb2SbCl after structural relaxation (PBE).

abc: 4.750 4.750 4.750
angles: 60.00 60.00 60.00
Each line ends with the local moment (μB).
Element x y z (fractional)
Sb1 0.500 0.500 0.500  -0.03
Nb1 0.250 0.250 0.250  0.79
Nb2 0.750 0.750 0.750  0.79
Cl1 0.000 0.000 0.000  -0.02

The calculation puts the density of states at the Fermi level at 2.94 states/eV per cell. The calculation puts the volume at 75.8 Å³/cell. Its magnetic moment is 1.9 μB per formula unit. The value obtained for the energy is -25.55 eV for the cell shown. The value obtained for the formation energy without anion corrections is 139 meV/atom.

---

# 10
Entry from Alexandria: NbSb2Cl after structural relaxation (PBE).

abc: 5.035 5.035 5.035
angles: 60.00 60.00 60.00
Element x y z (fractional)
Sb1 0.250 0.250 0.250
Sb2 0.750 0.750 0.750
Nb1 0.500 0.500 0.500
Cl1 0.000 0.000 0.000

The calculation puts the density of states at the Fermi level at 3.51 states/eV per cell. The calculation puts the volume at 90.2 Å³/cell. Its magnetic moment is 0.0 μB per formula unit. The value obtained for the energy is -18.68 eV for the cell shown. The value obtained for the formation energy without anion corrections is 371 meV/atom.

---

# 11
Entry from Alexandria: NbSbCl2 after structural relaxation (PBE).

abc: 12.567 12.567 12.567
angles: 14.56 14.56 14.56
Element x y z (fractional)
Sb1 0.000 0.000 0.000
Nb1 0.500 0.500 0.500
Cl1 0.881 0.881 0.881
Cl2 0.119 0.119 0.119

The calculation puts the density of states at the Fermi level at 1.85 states/eV per cell. The calculation puts the volume at 109.2 Å³/cell. Its magnetic moment is 0.0 μB per formula unit. The value obtained for the energy is -20.21 eV for the cell shown. The value obtained for the formation energy without anion corrections is -582 meV/atom.

---

# 12
Entry from Alexandria: NbSb2Cl after structural relaxation (PBE).

abc: 6.480 6.480 8.165
angles: 66.62 66.62 90.00
Element x y z (fractional)
Sb1 0.681 0.125 0.250
Sb2 0.069 0.625 0.250
Sb3 0.375 0.319 0.750
Sb4 0.875 0.931 0.750
Nb1 0.000 0.000 0.000
Nb2 0.750 0.250 0.500
Cl1 0.500 0.500 0.000
Cl2 0.250 0.750 0.500

The calculation puts the density of states at the Fermi level at 3.38 states/eV per cell. The calculation puts the volume at 283.8 Å³/cell. Its magnetic moment is 0.0 μB per formula unit. The value obtained for the energy is -37.15 eV for the cell shown. The value obtained for the formation energy without anion corrections is 396 meV/atom.